No. 1
Crystalline PaBi2Te at its relaxed geometry. Source: Alexandria, functional PBE-GGA.

```
4
Lattice="-2.264 2.264 5.617 2.264 -2.264 5.617 2.264 2.264 -5.617" Properties=species:S:1:pos:R:3 pbc="T T T"
Pa 0.000 0.000 0.000
Bi 2.264 0.000 2.809
Bi 0.000 2.264 2.809
Te 0.000 0.000 5.617
```

Output
E_form (uncorrected)	-0.298	eV per atom
relative energy among the computed polymorphs	0.0	kJ/mol of formula units

No. 2
Crystalline TcPRu at its relaxed geometry. Source: Alexandria, functional PBE-GGA.

```
6
Lattice="2.863 -2.767 0.000 2.863 2.767 0.000 -1.341 0.000 5.499" Properties=species:S:1:pos:R:3 pbc="T T T"
Tc 1.063 0.000 0.455
Tc 3.322 0.000 5.045
P 0.786 0.000 3.964
P 3.599 0.000 1.536
Ru 2.192 1.376 2.750
Ru 2.192 -1.376 2.750
```

Output
formation energy from the elements	-0.69	eV/f.u.
relative energy among the computed polymorphs	17.3	kJ/mol of formula units